Entry from OQMD via LeMat-Bulk: a relaxed PaAlPd crystal (PBE).

a = 4.588 Å, b = 4.588 Å, c = 4.588 Å
α = 60.00°, β = 60.00°, γ = 60.00°
Fractional coordinates of all 3 atoms:
1 Al 0.500 0.500 0.500
2 Pd 0.250 0.250 0.250
3 Pa 0.000 0.000 0.000

Computed properties:
- DFT total energy: -19.5 eV/f.u.
- Crystal system: cubic